[1]
Material: MnTe2Br
Method: DFT, PBE
State: relaxed

space-group type = P4/mmm, No. 123
energy relative to the elements, uncorrected = 0.012 eV/atom
volume = 25.767 Å³ per atom
distance to the lowest polymorph of the same formula = 0.257 eV per atom

a = 3.664 Å, b = 3.664 Å, c = 7.677 Å
α = 90.00°, β = 90.00°, γ = 90.00°
Each line ends with the local moment (μB).
Atoms (fractional coordinates):
1 Te 0.000 0.000 0.562  -0.05
2 Te 0.000 0.000 0.938  -0.05
3 Br 0.500 0.500 0.250  0.03
4 Mn 0.500 0.500 0.750  3.88

=====

[2]
Material: MnTeBr2
Method: DFT, PBE
State: relaxed

space-group type = P4/mmm, No. 123
energy relative to the elements, uncorrected = 0.375 eV/atom
volume = 25.866 Å³ per atom
distance to the lowest polymorph of the same formula = 0.726 eV per atom

a = 4.561 Å, b = 4.763 Å, c = 4.763 Å
α = 90.00°, β = 90.00°, γ = 90.00°
Each line ends with the local moment (μB).
Atoms (fractional coordinates):
1 Br 0.000 0.500 0.500  0.02
2 Br 0.000 0.000 0.000  0.02
3 Te 0.500 0.000 0.500  -0.02
4 Mn 0.500 0.500 0.000  4.43

=====

[3]
Material: MnTeBr2
Method: DFT, PBE
State: relaxed

space-group type = P2/m, No. 10
energy relative to the elements, uncorrected = -0.309 eV/atom
volume = 34.182 Å³ per atom
distance to the lowest polymorph of the same formula = 0.042 eV per atom

a = 3.396 Å, b = 7.561 Å, c = 7.555 Å
α = 44.82°, β = 90.00°, γ = 90.00°
Each line ends with the local moment (μB).
Atoms (fractional coordinates):
1 Te 0.500 0.750 0.750  -0.28
2 Br 0.000 0.384 0.384  0.02
3 Br 0.000 0.116 0.116  0.02
4 Mn 0.500 0.250 0.250  3.87

=====

[4]
Material: Mn2TeBr
Method: DFT, PBE
State: relaxed

space-group type = C2/m, No. 12
energy relative to the elements, uncorrected = -0.025 eV/atom
volume = 25.487 Å³ per atom
distance to the lowest polymorph of the same formula = 0.039 eV per atom

a = 4.680 Å, b = 4.680 Å, c = 7.620 Å
α = 59.94°, β = 59.94°, γ = 46.81°
Each line ends with the local moment (μB).
Atoms (fractional coordinates):
1 Mn 0.454 0.454 0.430  4.03
2 Mn 0.046 0.046 0.070  4.03
3 Br 0.750 0.750 0.750  0.07
4 Te 0.250 0.250 0.250  0.04

=====

[5]
Material: Mn2TeBr
Method: DFT, PBE
State: relaxed

space-group type = R-3m, No. 166
energy relative to the elements, uncorrected = 0.026 eV/atom
volume = 24.109 Å³ per atom
distance to the lowest polymorph of the same formula = 0.091 eV per atom

a = 6.894 Å, b = 6.894 Å, c = 6.894 Å
α = 35.04°, β = 35.04°, γ = 35.04°
Each line ends with the local moment (μB).
Atoms (fractional coordinates):
1 Te 0.250 0.250 0.250  0.07
2 Mn 0.989 0.989 0.989  4.11
3 Mn 0.511 0.511 0.511  4.11
4 Br 0.750 0.750 0.750  0.07

=====

[6]
Material: MnTe2Br
Method: DFT, PBE
State: relaxed

space-group type = Imm2, No. 44
energy relative to the elements, uncorrected = -0.160 eV/atom
volume = 36.005 Å³ per atom
distance to the lowest polymorph of the same formula = 0.085 eV per atom

a = 7.875 Å, b = 7.875 Å, c = 7.875 Å
α = 153.89°, β = 137.72°, γ = 50.37°
Each line ends with the local moment (μB).
Atoms (fractional coordinates):
1 Br 0.400 0.400 0.000  0.06
2 Te 0.697 0.197 0.500  -0.01
3 Te 0.129 0.129 0.000  -0.09
4 Mn 0.274 0.774 0.500  4.01

=====

[7]
Material: MnTeBr2
Method: DFT, PBE
State: relaxed

space-group type = P4/mmm, No. 123
energy relative to the elements, uncorrected = 0.421 eV/atom
volume = 25.461 Å³ per atom
distance to the lowest polymorph of the same formula = 0.771 eV per atom

a = 5.466 Å, b = 5.466 Å, c = 3.409 Å
α = 90.00°, β = 90.00°, γ = 90.00°
Each line ends with the local moment (μB).
Atoms (fractional coordinates):
1 Te 0.000 0.500 0.500  -0.08
2 Mn 0.500 0.000 0.500  4.24
3 Br 0.500 0.500 0.000  0.00
4 Br 0.000 0.000 0.000  0.00

=====

[8]
Material: MnTe3Br
Method: DFT, PBE
State: relaxed

space-group type = Pm-3m, No. 221
energy relative to the elements, uncorrected = 0.979 eV/atom
volume = 33.821 Å³ per atom
distance to the lowest polymorph of the same formula = 0.608 eV per atom

a = 5.530 Å, b = 5.530 Å, c = 5.530 Å
α = 90.00°, β = 90.00°, γ = 90.00°
Each line ends with the local moment (μB).
Atoms (fractional coordinates):
1 Te 0.000 0.500 0.000  0.00
2 Te 0.000 0.000 0.500  -0.02
3 Te 0.500 0.000 0.000  0.00
4 Mn 0.500 0.500 0.500  4.51
5 Br 0.000 0.000 0.000  -0.01

=====

- Among the records above, which one has the lowest distance to the lowest polymorph of the same formula?
  number 4